# TlSn3Au2

A relaxed TlSn3Au2 crystal (PBE, Alexandria via LeMat-Bulk).

The structure in CIF format:
```
data_TlSn3Au2
_cell_length_a 17.156
_cell_length_b 4.494
_cell_length_c 8.838
_cell_angle_alpha 90.00
_cell_angle_beta 113.75
_cell_angle_gamma 90.00
_symmetry_space_group_name_H-M 'C 1 2/m 1'
_symmetry_Int_Tables_number 12
loop_
_symmetry_equiv_pos_as_xyz
'x,y,z'
'-x,-y,-z'
'-x,y,-z'
'x,-y,z'
'x+1/2,y+1/2,z'
'-x+1/2,-y+1/2,-z'
'-x+1/2,y+1/2,-z'
'x+1/2,-y+1/2,z'
loop_
_atom_site_label
_atom_site_fract_x
_atom_site_fract_y
_atom_site_fract_z
Tl1 0.117 0.000 0.114
Sn1 0.032 0.000 0.680
Sn2 0.167 0.500 0.443
Sn3 0.185 0.500 0.856
Au1 0.002 0.500 0.835
Au2 0.192 0.000 0.652
```

Results
Magnetic moment in μB/atom: 0.00
Calculated formation energy in eV/atom: -0.1003
Crystal system: monoclinic
V in Å³/cell: 623.7